Entry 1:
# LaSm5Y, optimized geometry, DFT GGA-PBE
data_LaSm5Y
_chemical_formula_sum 'La2 Sm10 Y2'
_symmetry_space_group_name_H-M 'P 1'
_symmetry_Int_Tables_number 1
_symmetry_space_group_name_Hall 'P 1'
_cell_length_a 6.916
_cell_length_b 6.916
_cell_length_c 13.800
_cell_angle_alpha 62.07
_cell_angle_beta 62.07
_cell_angle_gamma 59.79
loop_
_atom_site_label
_atom_site_type_symbol
_atom_site_fract_x
_atom_site_fract_y
_atom_site_fract_z
_atom_site_occupancy
La1 La 0.717 0.283 0.750 1
La2 La 0.283 0.717 0.250 1
Sm1 Sm 0.152 0.406 0.752 1
Sm2 Sm 0.652 0.690 0.500 1
Sm3 Sm 0.406 0.152 0.252 1
Sm4 Sm 0.155 0.845 0.750 1
Sm5 Sm 0.310 0.348 0.000 1
Sm6 Sm 0.690 0.652 0.000 1
Sm7 Sm 0.845 0.155 0.250 1
Sm8 Sm 0.594 0.848 0.748 1
Sm9 Sm 0.348 0.310 0.500 1
Sm10 Sm 0.848 0.594 0.248 1
Y1 Y 0.000 0.000 0.000 1
Y2 Y 0.000 0.000 0.500 1
# Total moment: 0.00 μB per atom
# E_form: 0.166 eV per atom
# Distance to the lowest polymorph of the same formula: 0.0 kJ per mole of atoms


Entry 2:
# KLi3Au2, optimized geometry, DFT GGA-PBE
data_KLi3Au2
_chemical_formula_sum 'K2 Li6 Au4'
_symmetry_space_group_name_H-M 'P 1'
_symmetry_Int_Tables_number 1
_symmetry_space_group_name_Hall 'P 1'
_cell_length_a 4.444
_cell_length_b 8.345
_cell_length_c 8.374
_cell_angle_alpha 112.55
_cell_angle_beta 90.00
_cell_angle_gamma 105.44
loop_
_atom_site_label
_atom_site_type_symbol
_atom_site_fract_x
_atom_site_fract_y
_atom_site_fract_z
_atom_site_occupancy
K1 K 0.843 0.686 0.932 1
K2 K 0.157 0.314 0.068 1
Li1 Li 0.319 0.639 0.558 1
Li2 Li 0.970 0.940 0.648 1
Li3 Li 0.587 0.173 0.653 1
Li4 Li 0.413 0.827 0.347 1
Li5 Li 0.030 0.060 0.352 1
Li6 Li 0.681 0.361 0.442 1
Au1 Au 0.482 0.964 0.824 1
Au2 Au 0.518 0.036 0.176 1
Au3 Au 0.827 0.653 0.360 1
Au4 Au 0.173 0.347 0.640 1
# Total moment: 0.00 μB per atom
# E_form: -0.352 eV per atom


Entry 3:
# Hg2GePt, optimized geometry, DFT GGA-PBE
data_Hg2GePt
_chemical_formula_sum 'Hg4 Ge2 Pt2'
_symmetry_space_group_name_H-M 'P 1'
_symmetry_Int_Tables_number 1
_symmetry_space_group_name_Hall 'P 1'
_cell_length_a 9.697
_cell_length_b 9.697
_cell_length_c 7.244
_cell_angle_alpha 47.99
_cell_angle_beta 47.99
_cell_angle_gamma 90.00
loop_
_atom_site_label
_atom_site_type_symbol
_atom_site_fract_x
_atom_site_fract_y
_atom_site_fract_z
_atom_site_occupancy
Ge1 Ge 0.500 0.500 0.000 1
Ge2 Ge 0.250 0.750 0.500 1
Hg1 Hg 0.749 0.125 0.250 1
Hg2 Hg 0.001 0.625 0.250 1
Hg3 Hg 0.375 0.251 0.750 1
Hg4 Hg 0.875 0.999 0.750 1
Pt1 Pt 0.000 0.000 0.000 1
Pt2 Pt 0.750 0.250 0.500 1
# Total moment: 0.00 μB per atom
# E_form: 0.090 eV per atom


In order of appearance, raw total energy = -67.65; -31.01; -21.80 eV per cell.